Compound: BeCu3Se
Source: the Alexandria database
Functional: meta-GGA SCAN
Structure: single point on PBEsol structure

The structure belongs to space group Pm-3m (No. 221); the cell edges are 4.478, 4.478 and 4.478 Å and the angles 90.00°, 90.00° and 90.00°. Symmetry generates all atoms from Be at (0.000, 0.000, 0.000), Cu at (0.000, 0.500, 0.500) and Se at (0.500, 0.500, 0.500).

The value obtained for the uncorrected formation energy is 0.964 eV/atom.

=====

Compound: ReNi2Pt
Source: the Alexandria database
Functional: meta-GGA SCAN
Structure: single point on PBEsol structure

The structure belongs to space group P4mm (No. 99); the cell edges are 2.665, 2.665 and 7.074 Å and the angles 90.00°, 90.00° and 90.00°. Symmetry generates all atoms from Re at (0.000, 0.000, 0.000), Ni at (0.000, 0.000, 0.462), Ni at (0.500, 0.500, 0.239) and Pt at (0.500, 0.500, 0.722).

As for the formation enthalpy at 0 K: -0.11 eV/f.u. Its excess energy over the best structure of this formula in the dataset is 0.039 eV per atom.

=====

Compound: AgRh2
Source: the Alexandria database
Functional: meta-GGA SCAN
Structure: single point on PBEsol structure

The structure belongs to space group P4/mmm (No. 123); the cell edges are 4.451, 4.451 and 2.698 Å and the angles 90.00°, 90.00° and 90.00°. Symmetry generates all atoms from Ag at (0.000, 0.000, 0.000) and Rh at (0.000, 0.500, 0.500).

As for the formation enthalpy at 0 K: 3.34 eV/f.u.

=====

Compound: TiCuI2N
Source: the Alexandria database
Functional: meta-GGA SCAN
Structure: single point on PBEsol structure

The structure belongs to space group P4/mmm (No. 123); the cell edges are 5.448, 5.448 and 3.580 Å and the angles 90.00°, 90.00° and 90.00°. Symmetry generates all atoms from Ti at (0.000, 0.000, 0.000), Cu at (0.500, 0.500, 0.500), I at (0.000, 0.500, 0.500) and N at (0.500, 0.500, 0.000).

The value obtained for the uncorrected formation energy is 0.584 eV/atom.

=====

Per-record total magnetization, μB per atom: 0.0000 0.1421 0.7624 0.8259
Per-record final energy, eV/cell: -65.21 -173.75 -95.57 -111.09